A geometry-optimized LaTa2P structure. Source: the Alexandria database, functional PBE.

Output
Its energy of formation is -3.3 kJ per mole of atoms. As for the crystal system: monoclinic.

Geometry as extended XYZ:
```
4
Lattice="5.0331 -0.0015 0.0035 3.9223 3.1541 0.0035 1.2148 0.4276 5.0690" Properties=species:S:1:pos:R:3 pbc="T T T"
Ta 4.8392 1.7036 2.8520
P 7.6276 2.6852 3.8070
Ta 1.4607 0.5142 4.7550
La 2.5425 0.8951 1.2690
```

A geometry-optimized KIn2Pt3 structure. Source: the Alexandria database, functional PBE.

Output
Its energy of formation is -38.0 kJ per mole of atoms. As for the crystal system: hexagonal.

Geometry as extended XYZ:
```
6
Lattice="4.3153 0.0000 0.0000 0.0000 5.0957 -2.9339 0.0000 -0.0069 5.8796" Properties=species:S:1:pos:R:3 pbc="T T T"
K 0.0000 0.0064 -0.0036
Pt 2.1577 0.0029 2.9360
Pt 2.1577 2.5544 -1.4707
In 0.0000 3.4013 0.0004
Pt 2.1577 2.5508 1.4692
In 0.0000 1.7000 2.9381
```

A geometry-optimized CdTcSN2 structure. Source: the Alexandria database, functional PBE.

Output
The value obtained for the distance to the lowest polymorph of the same formula is 1791 meV per atom. Its uncorrected formation energy is 210.79 kJ/mol of atoms. As for the crystal system: tetragonal.

Geometry as extended XYZ:
```
5
Lattice="-0.7499 2.8199 2.8861 -3.2255 1.3449 -2.1521 -3.4294 -3.7647 2.7873" Properties=species:S:1:pos:R:3 pbc="T T T"
N -1.6127 0.6724 -1.0760
N -0.3749 1.4099 1.4431
Tc -3.7024 0.2000 1.7607
S -1.7147 -1.8824 1.3936
Cd 0.0000 0.0000 0.0000
```

A geometry-optimized BaInBr2 structure. Source: the Alexandria database, functional PBE.

Output
The value obtained for the distance to the lowest polymorph of the same formula is 28 meV per atom. Its uncorrected formation energy is -117.99 kJ/mol of atoms. As for the crystal system: monoclinic.

Geometry as extended XYZ:
```
4
Lattice="5.4614 -0.0147 -0.0002 3.6058 4.1018 -0.0002 1.4007 0.6314 6.9044" Properties=species:S:1:pos:R:3 pbc="T T T"
Br 8.8460 3.9874 0.2143
In 7.8510 3.5388 5.1780
Br 5.4551 2.4589 3.2373
Ba 2.6170 1.1796 1.7260
```

A geometry-optimized PaTlAgI6 structure. Source: the Alexandria database, functional PBE.

Output
Its uncorrected formation energy is -69.22 kJ/mol of atoms. As for the crystal system: trigonal.

Geometry as extended XYZ:
```
18
Lattice="-3.3851 -3.2563 -6.2565 1.8764 -4.4199 6.1766 -14.0021 2.6876 6.1771" Properties=species:S:1:pos:R:3 pbc="T T T"
I -12.6324 -0.4500 5.3325
I -12.3862 -4.1555 7.5030
Tl -7.0010 1.3438 3.0885
I -7.2735 -5.0817 -0.0478
Ag -3.3779 -3.3601 3.5765
Tl 0.0000 0.0000 0.0000
Pa -10.3790 -2.0163 6.6650
I -4.6023 -4.4645 -3.1756
I -2.8783 -4.5386 0.7646
I -7.2601 -1.1264 -1.7384
I -8.2373 0.0931 6.1449
I -5.6518 -1.7892 2.1957
I -9.8590 -3.1993 3.9014
Ag -12.1328 -1.6284 2.5206
I -8.2506 -3.8622 7.8355
I -10.9084 -0.5241 9.2727
I -3.1246 -0.8330 -1.4059
Pa -5.1318 -2.9723 -0.5679
```

A geometry-optimized CaAl4Tl4O12 structure. Source: the Alexandria database, functional PBE.

Output
The value obtained for the distance to the lowest polymorph of the same formula is 16 meV per atom. Its uncorrected formation energy is -180.73 kJ/mol of atoms. As for the crystal system: triclinic.

Geometry as extended XYZ:
```
21
Lattice="5.7352 0.0192 -0.0073 0.3035 5.9653 0.0339 1.2945 0.9860 8.8098" Properties=species:S:1:pos:R:3 pbc="T T T"
O 5.7440 5.5528 8.3579
Tl 0.4650 0.9313 2.5587
O 1.9851 5.4945 4.1265
O 4.6017 4.2124 4.5013
O 1.4976 2.6148 3.6135
O 1.2562 3.9145 5.9664
O 5.9375 4.7795 2.3298
Al 5.7754 4.1188 0.6970
Tl 3.1787 2.6011 1.9340
Ca 3.1953 2.5452 5.3092
O 2.7908 5.4612 8.5770
Al 6.4063 4.1788 4.0946
Al 3.6762 5.3751 3.4778
O 5.2506 2.3619 0.8465
O 4.0859 1.0808 3.5162
Tl 1.5523 6.2690 6.5836
O 3.2888 4.7203 1.8495
Tl 5.7406 3.1279 7.4833
O 4.1066 1.7450 7.3048
O 2.1105 1.0184 1.0179
Al 2.9349 5.4939 0.0782
```

A geometry-optimized LaHoBiO2 structure. Source: the Alexandria database, functional PBE.

Output
Its uncorrected formation energy is -258.02 kJ/mol of atoms. As for the crystal system: tetragonal.

Geometry as extended XYZ:
```
5
Lattice="3.9725 0.0000 0.0000 0.0000 3.9725 0.0000 -1.9862 -1.9862 6.9706" Properties=species:S:1:pos:R:3 pbc="T T T"
Ho 0.0000 0.0000 2.3589
Bi 1.9862 1.9862 0.0987
O 0.0000 1.9862 3.4026
O 1.9862 0.0000 3.4026
La 1.9862 1.9862 4.6783
```

A geometry-optimized CuAsP2 structure. Source: the Alexandria database, functional PBE.

Output
Its energy of formation is 54.6 kJ per mole of atoms. As for the crystal system: monoclinic.

Geometry as extended XYZ:
```
4
Lattice="-3.1574 1.1161 3.8591 3.4651 -3.8830 0.9570 1.5854 1.3020 1.6836" Properties=species:S:1:pos:R:3 pbc="T T T"
P 0.0000 0.0000 0.0000
As 2.5253 -1.2905 1.3203
Cu 0.1538 -1.3834 2.4080
P -0.7860 1.2090 2.7713
```

A geometry-optimized BaLi2CaAg structure. Source: the Alexandria database, functional PBE.

Output
The value obtained for the distance to the lowest polymorph of the same formula is 0 meV per atom. Its energy of formation is 1.6 kJ per mole of atoms. As for the crystal system: tetragonal.

Geometry as extended XYZ:
```
5
Lattice="5.4148 0.0000 0.0000 0.0000 5.7080 0.0000 0.0000 0.0000 5.4148" Properties=species:S:1:pos:R:3 pbc="T T T"
Ag 0.0000 0.0000 0.0000
Li 0.0000 0.0000 2.7074
Li 2.7074 0.0000 0.0000
Ca 0.0000 2.8540 0.0000
Ba 2.7074 2.8540 2.7074
```

A geometry-optimized SiC2Se structure. Source: the Alexandria database, functional PBE.

Output
The value obtained for the distance to the lowest polymorph of the same formula is 0 meV per atom. Its uncorrected formation energy is 100.41 kJ/mol of atoms. As for the crystal system: tetragonal.

Geometry as extended XYZ:
```
8
Lattice="-1.0100 -0.5179 -4.6571 1.8557 -4.4188 0.0889 -3.6558 -4.1597 -1.2115" Properties=species:S:1:pos:R:3 pbc="T T T"
Si -0.6886 -5.5234 -1.7033
Se -2.1215 -3.5729 -4.0764
Si 0.4228 -2.4683 -2.2841
C -2.3032 -5.2605 -2.6159
C -2.1235 -7.1498 -4.9116
C -1.2471 -1.8820 -2.8973
Se 0.0000 0.0000 0.0000
C 0.0534 -3.9003 -1.1346
```

A geometry-optimized Zr2BeW structure. Source: the Alexandria database, functional PBE.

Output
Its energy of formation is 5.6 kJ per mole of atoms. As for the crystal system: tetragonal.

Geometry as extended XYZ:
```
4
Lattice="3.3527 0.0000 0.0000 0.0000 3.3527 0.0000 0.0000 0.0000 6.2782" Properties=species:S:1:pos:R:3 pbc="T T T"
Zr 0.0000 0.0000 0.0585
Be 1.6764 1.6764 1.5696
Zr 0.0000 0.0000 3.0806
W 1.6764 1.6764 4.7087
```

A geometry-optimized AcPmNdHo2 structure. Source: the Alexandria database, functional PBE.

Output
Its energy of formation is 34.2 kJ per mole of atoms. As for the crystal system: orthorhombic.

Geometry as extended XYZ:
```
10
Lattice="6.4730 0.0000 0.0000 0.0000 6.5985 0.0000 0.0000 -3.2993 8.7405" Properties=species:S:1:pos:R:3 pbc="T T T"
Ac 1.6183 3.2993 2.7391
Ac 4.8548 0.0000 6.0014
Ho 0.0000 4.9955 0.0000
Pm 1.6183 0.0000 3.8289
Ho 0.0000 1.6030 0.0000
Nd 1.6183 3.2993 6.0795
Ho 3.2365 4.9955 0.0000
Pm 4.8548 3.2993 4.9116
Nd 4.8548 0.0000 2.6611
Ho 3.2365 1.6030 0.0000
```

- What is the formula in the seventh record?
  LaHoBiO2

- Number 7 is which compound?
  LaHoBiO2

Please write out number 5 again, unchanged.
A geometry-optimized PaTlAgI6 structure. Source: the Alexandria database, functional PBE.

Output
Its uncorrected formation energy is -69.22 kJ/mol of atoms. As for the crystal system: trigonal.

Geometry as extended XYZ:
```
18
Lattice="-3.3851 -3.2563 -6.2565 1.8764 -4.4199 6.1766 -14.0021 2.6876 6.1771" Properties=species:S:1:pos:R:3 pbc="T T T"
I -12.6324 -0.4500 5.3325
I -12.3862 -4.1555 7.5030
Tl -7.0010 1.3438 3.0885
I -7.2735 -5.0817 -0.0478
Ag -3.3779 -3.3601 3.5765
Tl 0.0000 0.0000 0.0000
Pa -10.3790 -2.0163 6.6650
I -4.6023 -4.4645 -3.1756
I -2.8783 -4.5386 0.7646
I -7.2601 -1.1264 -1.7384
I -8.2373 0.0931 6.1449
I -5.6518 -1.7892 2.1957
I -9.8590 -3.1993 3.9014
Ag -12.1328 -1.6284 2.5206
I -8.2506 -3.8622 7.8355
I -10.9084 -0.5241 9.2727
I -3.1246 -0.8330 -1.4059
Pa -5.1318 -2.9723 -0.5679
```